Computed, not measured: an optimized crystal structure of CaAl11 at the PBE level of DFT.

a b c (Å): 8.6466 8.6466 8.6466
angles (deg): 100.11 100.11 130.46
Fractional coordinates of all 24 atoms:
1 Ca 0.3750 0.6250 0.7500
2 Ca 0.6250 0.3750 0.2500
3 Al 0.0000 0.0000 0.0000
4 Al 0.0000 0.0000 0.5000
5 Al 0.0000 0.5000 0.0000
6 Al 0.1250 0.8750 0.2500
7 Al 0.1344 0.5563 0.3335
8 Al 0.1344 0.8009 0.5781
9 Al 0.1991 0.2772 0.3335
10 Al 0.1991 0.8656 0.9219
11 Al 0.2772 0.1991 0.8335
12 Al 0.2772 0.4437 0.0781
13 Al 0.4437 0.2772 0.5781
14 Al 0.4437 0.8656 0.1665
15 Al 0.5000 0.0000 0.5000
16 Al 0.5563 0.1344 0.8335
17 Al 0.5563 0.7228 0.4219
18 Al 0.7228 0.5563 0.9219
19 Al 0.7228 0.8009 0.1665
20 Al 0.8009 0.1344 0.0781
21 Al 0.8009 0.7228 0.6665
22 Al 0.8656 0.1991 0.4219
23 Al 0.8656 0.4437 0.6665
24 Al 0.8750 0.1250 0.7500

Output
Space group ... I4_1/amd, No. 141
Total energy ... -3.636 eV per atom
Crystal system ... tetragonal
Energy of formation ... -0.038 eV/atom